No. 1
Crystalline ScSnAu at its relaxed geometry, computed with PBE-GGA.

The total energy comes out at -5.070 eV/atom. For the total moment, the calculation gives 0.0 μB/f.u. As for the formation energy: -532 meV/atom.

The structure belongs to space group Cmc2_1 (No. 36); the cell edges are 3.496, 10.347 and 7.284 Å and the angles 90.00°, 90.00° and 90.00°. Symmetry generates all atoms from Sc at (0.000, 0.052, 0.000), Sn at (0.000, 0.337, 0.192) and Au at (0.000, 0.370, 0.806).

***

No. 2
Crystalline Sm5Ho4In at its relaxed geometry, computed with PBE-GGA.

The total energy comes out at -4.463 eV/atom. For the total moment, the calculation gives 0.0 μB/f.u. As for the formation energy: 2 meV/atom. The energy above the most stable polymorph in this dataset is 0 meV/atom.

The structure belongs to space group P4/mmm (No. 123); the cell edges are 4.146, 4.146 and 18.372 Å and the angles 90.00°, 90.00° and 90.00°. Symmetry generates all atoms from Sm at (0.000, 0.000, 0.000), Sm at (0.000, 0.000, 0.204), Sm at (0.000, 0.000, 0.410), Ho at (0.500, 0.500, 0.102), Ho at (0.500, 0.500, 0.304) and In at (0.500, 0.500, 0.500).

***

No. 3
Crystalline PmY5Er2Sc at its relaxed geometry, computed with PBE-GGA.

The total energy comes out at -5.667 eV/atom. For the total moment, the calculation gives 0.0 μB/f.u. As for the formation energy: 169 meV/atom.

The structure belongs to space group Cmc2_1 (No. 36); the cell edges are 5.556, 19.893 and 10.377 Å and the angles 90.00°, 90.00° and 90.00°. Symmetry generates all atoms from Pm at (0.000, 0.089, 0.000), Y at (0.000, 0.019, 0.289), Y at (0.000, 0.127, 0.573), Y at (0.000, 0.201, 0.255), Y at (0.000, 0.227, 0.881), Y at (0.000, 0.483, 0.569), Er at (0.000, 0.385, 0.287), Er at (0.000, 0.390, 0.864) and Sc at (0.000, 0.307, 0.568).

***

No. 4
Crystalline As2PIr at its relaxed geometry, computed with PBE-GGA.

The total energy comes out at -5.417 eV/atom. For the total moment, the calculation gives 0.0 μB/f.u. As for the formation energy: 476 meV/atom.

The structure belongs to space group P4/mmm (No. 123); the cell edges are 4.692, 4.692 and 2.927 Å and the angles 90.00°, 90.00° and 90.00°. Symmetry generates all atoms from As at (0.000, 0.500, 0.000), P at (0.000, 0.000, 0.500) and Ir at (0.500, 0.500, 0.500).

***

No. 5
Crystalline AlCr2Br at its relaxed geometry, computed with PBE-GGA.

The total energy comes out at -5.471 eV/atom. For the total moment, the calculation gives 8.0 μB/f.u. The energy above the most stable polymorph in this dataset is 508 meV/atom. For the uncorrected formation energy, the calculation gives 67.0 kJ/mol of atoms.

The structure belongs to space group I4/mmm (No. 139); the cell edges are 4.442, 4.442 and 7.463 Å and the angles 90.00°, 90.00° and 90.00°. Symmetry generates all atoms from Al at (0.000, 0.000, 0.000), Cr at (0.000, 0.500, 0.250) and Br at (0.000, 0.000, 0.500).

***

No. 6
Crystalline Pa3Se2O at its relaxed geometry, computed with PBE-GGA.

The total energy comes out at -8.257 eV/atom. For the total moment, the calculation gives 0.0 μB/f.u. For the uncorrected formation energy, the calculation gives -146.8 kJ/mol of atoms.

The structure belongs to space group Immm (No. 71); the cell edges are 3.591, 5.570 and 12.448 Å and the angles 90.00°, 90.00° and 90.00°. Symmetry generates all atoms from Pa at (0.000, 0.000, 0.000), Pa at (0.000, 0.000, 0.367), Se at (0.000, 0.500, 0.317) and O at (0.000, 0.500, 0.000).